1.
# GGA-PBE GaHg4Pb, optimized geometry
# - N(E_F) (states/eV/atom) = 0.22
# - formation energy (eV/f.u.) = 0.8
# - symmetry = No. 216
# - polymorph energy (0 for the lowest one) (meV per atom) = 84
# - spin magnetization (μB per atom) = 0.00
data_GaHg4Pb
_chemical_formula_sum 'Ga1 Hg4 Pb1'
_cell_length_a 6.0875
_cell_length_b 6.0875
_cell_length_c 6.0875
_cell_angle_alpha 60.00
_cell_angle_beta 60.00
_cell_angle_gamma 60.00
_symmetry_space_group_name_H-M 'P 1'
_symmetry_Int_Tables_number 1
_symmetry_space_group_name_Hall 'P 1'
loop_
_atom_site_label
_atom_site_fract_x
_atom_site_fract_y
_atom_site_fract_z
_atom_site_occupancy
Ga1 0.2500 0.2500 0.2500 1
Hg1 0.6248 0.1257 0.6248 1
Hg2 0.1257 0.6248 0.6248 1
Hg3 0.6248 0.6248 0.6248 1
Hg4 0.6248 0.6248 0.1257 1
Pb1 0.0000 0.0000 0.0000 1

2.
# GGA-PBE GaHgPb2, optimized geometry
# - N(E_F) (states/eV/atom) = 0.35
# - formation energy (eV/f.u.) = 0.2
# - symmetry = No. 123
# - spin magnetization (μB per atom) = 0.00
data_GaHgPb2
_chemical_formula_sum 'Ga1 Hg1 Pb2'
_cell_length_a 4.1399
_cell_length_b 5.1068
_cell_length_c 5.1068
_cell_angle_alpha 90.00
_cell_angle_beta 90.00
_cell_angle_gamma 90.00
_symmetry_space_group_name_H-M 'P 1'
_symmetry_Int_Tables_number 1
_symmetry_space_group_name_Hall 'P 1'
loop_
_atom_site_label
_atom_site_fract_x
_atom_site_fract_y
_atom_site_fract_z
_atom_site_occupancy
Hg1 0.5000 0.5000 0.5000 1
Pb1 0.0000 0.5000 0.0000 1
Pb2 0.0000 0.0000 0.5000 1
Ga1 0.5000 0.0000 0.0000 1

3.
# GGA-PBE GaHg11Pb17, optimized geometry
# - N(E_F) (states/eV/atom) = 0.45
# - formation energy (eV/f.u.) = 1.2
# - symmetry = No. 8
# - spin magnetization (μB per atom) = 0.00
data_GaHg11Pb17
_chemical_formula_sum 'Ga1 Hg11 Pb17'
_cell_length_a 10.2704
_cell_length_b 10.2704
_cell_length_c 10.3039
_cell_angle_alpha 110.41
_cell_angle_beta 110.41
_cell_angle_gamma 107.86
_symmetry_space_group_name_H-M 'P 1'
_symmetry_Int_Tables_number 1
_symmetry_space_group_name_Hall 'P 1'
loop_
_atom_site_label
_atom_site_fract_x
_atom_site_fract_y
_atom_site_fract_z
_atom_site_occupancy
Pb1 0.0164 0.3449 0.0046 1
Pb2 0.6913 0.2884 0.6911 1
Pb3 0.9903 0.9903 0.3349 1
Pb4 0.6840 0.6840 0.2857 1
Pb5 0.3201 0.5910 0.9973 1
Pb6 0.2884 0.6913 0.6911 1
Pb7 0.5910 0.3201 0.9973 1
Pb8 0.3449 0.0164 0.0046 1
Pb9 0.5970 0.9979 0.3103 1
Pb10 0.4022 0.7004 0.3985 1
Pb11 0.9979 0.5970 0.3103 1
Pb12 0.6616 0.6616 0.6746 1
Pb13 0.3099 0.9945 0.5917 1
Pb14 0.9945 0.3099 0.5917 1
Pb15 0.0052 0.0052 0.0103 1
Pb16 0.7004 0.4022 0.3985 1
Pb17 0.3933 0.3933 0.7012 1
Hg1 0.6281 0.8144 0.0009 1
Hg2 0.8137 0.1940 0.1913 1
Hg3 0.0076 0.6329 0.8149 1
Hg4 0.1932 0.1932 0.8195 1
Hg5 0.8144 0.6281 0.0009 1
Hg6 0.1783 0.3674 0.3642 1
Hg7 0.3674 0.1783 0.3642 1
Hg8 0.8136 0.0017 0.6322 1
Hg9 0.0017 0.8136 0.6322 1
Hg10 0.1940 0.8137 0.1913 1
Hg11 0.6329 0.0076 0.8149 1
Ga1 0.3667 0.3667 0.1797 1

4.
# GGA-PBE GaHg6Pb, optimized geometry
# - N(E_F) (states/eV/atom) = 0.07
# - formation energy (eV/f.u.) = 0.3
# - symmetry = No. 123
# - spin magnetization (μB per atom) = 0.00
data_GaHg6Pb
_chemical_formula_sum 'Ga1 Hg6 Pb1'
_cell_length_a 4.7041
_cell_length_b 4.7041
_cell_length_c 9.4045
_cell_angle_alpha 90.00
_cell_angle_beta 90.00
_cell_angle_gamma 90.00
_symmetry_space_group_name_H-M 'P 1'
_symmetry_Int_Tables_number 1
_symmetry_space_group_name_Hall 'P 1'
loop_
_atom_site_label
_atom_site_fract_x
_atom_site_fract_y
_atom_site_fract_z
_atom_site_occupancy
Ga1 0.0000 0.0000 0.5000 1
Hg1 0.0000 0.5000 0.7368 1
Hg2 0.5000 0.0000 0.2632 1
Hg3 0.5000 0.5000 0.0000 1
Hg4 0.5000 0.5000 0.5000 1
Hg5 0.0000 0.5000 0.2632 1
Hg6 0.5000 0.0000 0.7368 1
Pb1 0.0000 0.0000 0.0000 1

5.
# GGA-PBE GaHg3Pb, optimized geometry
# - N(E_F) (states/eV/atom) = 0.24
# - formation energy (eV/f.u.) = 0.3
# - symmetry = No. 12
# - polymorph energy (0 for the lowest one) (meV per atom) = 0
# - spin magnetization (μB per atom) = 0.00
data_GaHg3Pb
_chemical_formula_sum 'Ga4 Hg12 Pb4'
_cell_length_a 6.8614
_cell_length_b 9.0918
_cell_length_c 9.7519
_cell_angle_alpha 117.78
_cell_angle_beta 95.24
_cell_angle_gamma 90.00
_symmetry_space_group_name_H-M 'P 1'
_symmetry_Int_Tables_number 1
_symmetry_space_group_name_Hall 'P 1'
loop_
_atom_site_label
_atom_site_fract_x
_atom_site_fract_y
_atom_site_fract_z
_atom_site_occupancy
Ga1 0.5940 0.1876 0.8752 1
Ga2 0.0940 0.6876 0.8752 1
Ga3 0.4060 0.8124 0.1248 1
Ga4 0.9060 0.3124 0.1248 1
Hg1 0.8649 0.3936 0.6337 1
Hg2 0.3649 0.2401 0.6337 1
Hg3 0.4502 0.6101 0.7201 1
Hg4 0.3652 0.8938 0.6337 1
Hg5 0.9502 0.1100 0.7201 1
Hg6 0.1348 0.2601 0.3663 1
Hg7 0.6348 0.1062 0.3663 1
Hg8 0.0498 0.8900 0.2799 1
Hg9 0.6351 0.7599 0.3663 1
Hg10 0.1351 0.6064 0.3663 1
Hg11 0.8652 0.7399 0.6337 1
Hg12 0.5498 0.3899 0.2799 1
Pb1 0.7500 0.5597 0.0000 1
Pb2 0.2500 0.4403 0.0000 1
Pb3 0.7500 0.9404 0.0000 1
Pb4 0.2500 0.0596 0.0000 1

6.
# GGA-PBE GaHg4Pb2, optimized geometry
# - N(E_F) (states/eV/atom) = 0.45
# - formation energy (eV/f.u.) = 0.3
# - symmetry = No. 2
# - polymorph energy (0 for the lowest one) (meV per atom) = 0
# - spin magnetization (μB per atom) = 0.00
data_GaHg4Pb2
_chemical_formula_sum 'Ga1 Hg4 Pb2'
_cell_length_a 3.5457
_cell_length_b 5.8142
_cell_length_c 9.4125
_cell_angle_alpha 93.60
_cell_angle_beta 100.30
_cell_angle_gamma 89.60
_symmetry_space_group_name_H-M 'P 1'
_symmetry_Int_Tables_number 1
_symmetry_space_group_name_Hall 'P 1'
loop_
_atom_site_label
_atom_site_fract_x
_atom_site_fract_y
_atom_site_fract_z
_atom_site_occupancy
Hg1 0.4318 0.6504 0.8683 1
Hg2 0.5682 0.3496 0.1317 1
Hg3 0.8735 0.2351 0.7453 1
Hg4 0.1265 0.7649 0.2547 1
Ga1 0.0000 0.0000 0.0000 1
Pb1 0.7650 0.7488 0.5666 1
Pb2 0.2350 0.2512 0.4334 1

7.
# GGA-PBE GaHg3Pb12, optimized geometry
# - N(E_F) (states/eV/atom) = 0.38
# - formation energy (eV/f.u.) = 0.3
# - symmetry = No. 123
# - spin magnetization (μB per atom) = 0.00
data_GaHg3Pb12
_chemical_formula_sum 'Ga1 Hg3 Pb12'
_cell_length_a 4.8414
_cell_length_b 4.8414
_cell_length_c 20.2321
_cell_angle_alpha 90.00
_cell_angle_beta 90.00
_cell_angle_gamma 90.00
_symmetry_space_group_name_H-M 'P 1'
_symmetry_Int_Tables_number 1
_symmetry_space_group_name_Hall 'P 1'
loop_
_atom_site_label
_atom_site_fract_x
_atom_site_fract_y
_atom_site_fract_z
_atom_site_occupancy
Pb1 0.5000 0.0000 0.6254 1
Pb2 0.5000 0.5000 0.7512 1
Pb3 0.0000 0.5000 0.8780 1
Pb4 0.5000 0.5000 0.5000 1
Pb5 0.5000 0.5000 0.0000 1
Pb6 0.5000 0.0000 0.3746 1
Pb7 0.0000 0.5000 0.6254 1
Pb8 0.0000 0.5000 0.3746 1
Pb9 0.5000 0.0000 0.8780 1
Pb10 0.0000 0.5000 0.1220 1
Pb11 0.5000 0.5000 0.2488 1
Pb12 0.5000 0.0000 0.1220 1
Ga1 0.0000 0.0000 0.0000 1
Hg1 0.0000 0.0000 0.2480 1
Hg2 0.0000 0.0000 0.7520 1
Hg3 0.0000 0.0000 0.5000 1

8.
# GGA-PBE GaHgPb2, optimized geometry
# - N(E_F) (states/eV/atom) = 0.36
# - formation energy (eV/f.u.) = 0.1
# - symmetry = No. 123
# - spin magnetization (μB per atom) = 0.00
data_GaHgPb2
_chemical_formula_sum 'Ga1 Hg1 Pb2'
_cell_length_a 3.5621
_cell_length_b 3.5621
_cell_length_c 8.5225
_cell_angle_alpha 90.00
_cell_angle_beta 90.00
_cell_angle_gamma 90.00
_symmetry_space_group_name_H-M 'P 1'
_symmetry_Int_Tables_number 1
_symmetry_space_group_name_Hall 'P 1'
loop_
_atom_site_label
_atom_site_fract_x
_atom_site_fract_y
_atom_site_fract_z
_atom_site_occupancy
Pb1 0.0000 0.0000 0.7668 1
Pb2 0.0000 0.0000 0.2332 1
Ga1 0.5000 0.5000 0.0000 1
Hg1 0.5000 0.5000 0.5000 1

9.
# GGA-PBE GaHg4Pb, optimized geometry
# - N(E_F) (states/eV/atom) = 0.36
# - formation energy (eV/f.u.) = 0.3
# - symmetry = No. 12
# - polymorph energy (0 for the lowest one) (meV per atom) = 0
# - spin magnetization (μB per atom) = 0.00
data_GaHg4Pb
_chemical_formula_sum 'Ga2 Hg8 Pb2'
_cell_length_a 6.1584
_cell_length_b 6.0206
_cell_length_c 9.7401
_cell_angle_alpha 68.22
_cell_angle_beta 108.43
_cell_angle_gamma 90.00
_symmetry_space_group_name_H-M 'P 1'
_symmetry_Int_Tables_number 1
_symmetry_space_group_name_Hall 'P 1'
loop_
_atom_site_label
_atom_site_fract_x
_atom_site_fract_y
_atom_site_fract_z
_atom_site_occupancy
Hg1 0.7585 0.0000 0.0000 1
Hg2 0.3363 0.3377 0.1810 1
Hg3 0.1554 0.6623 0.8190 1
Hg4 0.6637 0.6623 0.8190 1
Hg5 0.8446 0.3377 0.1810 1
Hg6 0.7380 0.9164 0.4760 1
Hg7 0.2415 0.0000 0.0000 1
Hg8 0.2620 0.0836 0.5240 1
Ga1 0.3691 0.3225 0.7383 1
Ga2 0.6309 0.6775 0.2617 1
Pb1 0.1857 0.6996 0.3714 1
Pb2 0.8143 0.3004 0.6286 1

10.
# GGA-PBE Ga2Hg2Pb, optimized geometry
# - N(E_F) (states/eV/atom) = 0.41
# - formation energy (eV/f.u.) = 0.5
# - symmetry = No. 139
# - polymorph energy (0 for the lowest one) (meV per atom) = 20
# - spin magnetization (μB per atom) = 0.00
data_Ga2Hg2Pb
_chemical_formula_sum 'Ga2 Hg2 Pb1'
_cell_length_a 4.2004
_cell_length_b 4.2004
_cell_length_c 7.6113
_cell_angle_alpha 73.98
_cell_angle_beta 73.98
_cell_angle_gamma 90.00
_symmetry_space_group_name_H-M 'P 1'
_symmetry_Int_Tables_number 1
_symmetry_space_group_name_Hall 'P 1'
loop_
_atom_site_label
_atom_site_fract_x
_atom_site_fract_y
_atom_site_fract_z
_atom_site_occupancy
Pb1 0.0000 0.0000 0.0000 1
Hg1 0.3922 0.3922 0.2156 1
Hg2 0.6078 0.6078 0.7844 1
Ga1 0.2500 0.7500 0.5000 1
Ga2 0.7500 0.2500 0.5000 1

11.
# GGA-PBE GaHg8Pb2, optimized geometry
# - N(E_F) (states/eV/atom) = 0.32
# - formation energy (eV/f.u.) = 0.7
# - symmetry = No. 71
# - spin magnetization (μB per atom) = 0.00
data_GaHg8Pb2
_chemical_formula_sum 'Ga1 Hg8 Pb2'
_cell_length_a 5.8007
_cell_length_b 8.9859
_cell_length_c 7.9027
_cell_angle_alpha 124.64
_cell_angle_beta 111.53
_cell_angle_gamma 90.00
_symmetry_space_group_name_H-M 'P 1'
_symmetry_Int_Tables_number 1
_symmetry_space_group_name_Hall 'P 1'
loop_
_atom_site_label
_atom_site_fract_x
_atom_site_fract_y
_atom_site_fract_z
_atom_site_occupancy
Hg1 0.0000 0.6913 0.0000 1
Hg2 0.0000 0.3087 0.0000 1
Hg3 0.3664 0.5509 0.7328 1
Hg4 0.1343 0.1342 0.2685 1
Hg5 0.8657 0.8658 0.7315 1
Hg6 0.6336 0.8180 0.2672 1
Hg7 0.3664 0.1820 0.7328 1
Hg8 0.6336 0.4491 0.2672 1
Ga1 0.5000 0.0000 0.0000 1
Pb1 0.7614 0.2614 0.5229 1
Pb2 0.2386 0.7386 0.4771 1

12.
# GGA-PBE GaHgPb4, optimized geometry
# - N(E_F) (states/eV/atom) = 0.46
# - formation energy (eV/f.u.) = 0.2
# - symmetry = No. 123
# - polymorph energy (0 for the lowest one) (meV per atom) = 0
# - spin magnetization (μB per atom) = 0.00
data_GaHgPb4
_chemical_formula_sum 'Ga1 Hg1 Pb4'
_cell_length_a 3.4308
_cell_length_b 3.4308
_cell_length_c 14.5827
_cell_angle_alpha 90.00
_cell_angle_beta 90.00
_cell_angle_gamma 90.00
_symmetry_space_group_name_H-M 'P 1'
_symmetry_Int_Tables_number 1
_symmetry_space_group_name_Hall 'P 1'
loop_
_atom_site_label
_atom_site_fract_x
_atom_site_fract_y
_atom_site_fract_z
_atom_site_occupancy
Pb1 0.0002 0.0002 0.3344 1
Pb2 0.5000 0.5000 0.1510 1
Pb3 0.9998 0.9998 0.6656 1
Pb4 0.5000 0.5000 0.8490 1
Ga1 0.0000 0.0000 0.0000 1
Hg1 0.5000 0.5000 0.5000 1